# 1
A plane-wave DFT calculation with PBE was carried out for an optimized crystal structure of Ba8Rh4Cl.

Uncorrected formation energy: -0.39 eV/atom
Calculated total energy: -51.746 eV per cell
ρ: 4718 kg/m³
Total moment: 0.00 μB per formula unit

```
Ba8Rh4Cl
1.0
4.572 2.640 7.512
-4.572 2.640 7.512
0.000 -5.280 7.512
Ba Rh Cl
8 4 1
Direct
0.235 0.742 0.742
0.241 0.241 0.241
0.258 0.258 0.765
0.258 0.765 0.258
0.742 0.235 0.742
0.742 0.742 0.235
0.759 0.759 0.759
0.765 0.258 0.258
0.000 0.000 0.500
0.000 0.500 0.000
0.500 0.000 0.000
0.500 0.500 0.500
0.000 0.000 0.000
```

# 2
A plane-wave DFT calculation with PBE was carried out for an optimized crystal structure of Ba4RhCl2.

Uncorrected formation energy: -1.01 eV/atom
Distance to the lowest polymorph of the same formula: 112 meV per atom
Calculated total energy: -25.806 eV per cell
ρ: 4108 kg/m³
Total moment: 0.40 μB per formula unit

```
Ba4RhCl2
1.0
-3.040 3.040 7.909
3.040 -3.040 7.909
3.040 3.040 -7.909
Ba Rh Cl
4 1 2
Direct
0.000 0.500 0.500
0.205 0.205 0.000
0.500 0.000 0.500
0.795 0.795 0.000
0.000 0.000 0.000
0.398 0.398 0.000
0.602 0.602 0.000
```

# 3
A plane-wave DFT calculation with PBE was carried out for an optimized crystal structure of BaRhCl.

Uncorrected formation energy: -0.43 eV/atom
Distance to the lowest polymorph of the same formula: 712 meV per atom
Calculated total energy: -12.408 eV per cell
ρ: 5859 kg/m³
Total moment: 0.00 μB per formula unit

```
BaRhCl
1.0
0.000 3.393 3.393
3.393 0.000 3.393
3.393 3.393 0.000
Ba Rh Cl
1 1 1
Direct
0.000 0.000 0.000
0.250 0.250 0.250
0.500 0.500 0.500
```

# 4
A plane-wave DFT calculation with PBE was carried out for an optimized crystal structure of Ba12Rh3Cl5.

Uncorrected formation energy: -0.81 eV/atom
Calculated total energy: -281.908 eV per cell
ρ: 4198 kg/m³
Total moment: 0.00 μB per formula unit

```
Ba12Rh3Cl5
1.0
-9.451 9.451 9.451
9.451 -9.451 9.451
9.451 9.451 -9.451
Ba Rh Cl
48 12 20
Direct
0.053 0.228 0.131
0.053 0.325 0.922
0.078 0.631 0.403
0.078 0.947 0.675
0.097 0.728 0.675
0.097 0.869 0.422
0.131 0.053 0.228
0.131 0.578 0.903
0.175 0.228 0.597
0.175 0.447 0.578
0.228 0.131 0.053
0.228 0.597 0.175
0.272 0.325 0.903
0.272 0.447 0.369
0.325 0.903 0.272
0.325 0.922 0.053
0.369 0.272 0.447
0.369 0.597 0.922
0.403 0.078 0.631
0.403 0.825 0.772
0.422 0.097 0.869
0.422 0.825 0.553
0.447 0.369 0.272
0.447 0.578 0.175
0.553 0.422 0.825
0.553 0.631 0.728
0.578 0.175 0.447
0.578 0.903 0.131
0.597 0.175 0.228
0.597 0.922 0.369
0.631 0.403 0.078
0.631 0.728 0.553
0.675 0.078 0.947
0.675 0.097 0.728
0.728 0.553 0.631
0.728 0.675 0.097
0.772 0.403 0.825
0.772 0.869 0.947
0.825 0.553 0.422
0.825 0.772 0.403
0.869 0.422 0.097
0.869 0.947 0.772
0.903 0.131 0.578
0.903 0.272 0.325
0.922 0.053 0.325
0.922 0.369 0.597
0.947 0.675 0.078
0.947 0.772 0.869
0.125 0.250 0.375
0.125 0.375 0.750
0.250 0.375 0.125
0.250 0.875 0.625
0.375 0.125 0.250
0.375 0.750 0.125
0.625 0.250 0.875
0.625 0.875 0.750
0.750 0.125 0.375
0.750 0.625 0.875
0.875 0.625 0.250
0.875 0.750 0.625
0.000 0.000 0.000
0.000 0.000 0.500
0.000 0.500 0.000
0.000 0.500 0.500
0.125 0.750 0.875
0.125 0.875 0.250
0.250 0.125 0.875
0.250 0.625 0.375
0.375 0.250 0.625
0.375 0.625 0.750
0.500 0.000 0.000
0.500 0.000 0.500
0.500 0.500 0.000
0.500 0.500 0.500
0.625 0.375 0.250
0.625 0.750 0.375
0.750 0.375 0.625
0.750 0.875 0.125
0.875 0.125 0.750
0.875 0.250 0.125
```

# 5
A plane-wave DFT calculation with PBE was carried out for an optimized crystal structure of Ba5RhCl.

Uncorrected formation energy: -0.58 eV/atom
Calculated total energy: -45.713 eV per cell
ρ: 3811 kg/m³
Total moment: 0.00 μB per formula unit

```
Ba5RhCl
1.0
4.332 -7.565 0.000
4.332 7.565 0.000
-3.913 0.000 10.969
Ba Rh Cl
10 2 2
Direct
0.029 0.349 0.637
0.084 0.916 0.750
0.229 0.425 0.044
0.349 0.029 0.137
0.425 0.229 0.544
0.575 0.771 0.456
0.651 0.971 0.863
0.771 0.575 0.956
0.916 0.084 0.250
0.971 0.651 0.363
0.000 0.000 0.000
0.000 0.000 0.500
0.458 0.542 0.750
0.542 0.458 0.250
```

# 6
A plane-wave DFT calculation with PBE was carried out for an optimized crystal structure of Ba6Rh2Cl.

Uncorrected formation energy: -0.47 eV/atom
Distance to the lowest polymorph of the same formula: 72 meV per atom
Calculated total energy: -32.349 eV per cell
ρ: 4206 kg/m³
Total moment: 0.00 μB per formula unit

```
Ba6Rh2Cl
1.0
7.382 -3.068 0.000
7.382 3.068 0.000
-4.418 0.000 9.282
Ba Rh Cl
6 2 1
Direct
0.013 0.013 0.205
0.320 0.320 0.933
0.340 0.340 0.397
0.660 0.660 0.603
0.680 0.680 0.067
0.987 0.987 0.795
0.183 0.183 0.109
0.817 0.817 0.891
0.000 0.000 0.500
```

# 7
A plane-wave DFT calculation with PBE was carried out for an optimized crystal structure of BaRhCl.

Uncorrected formation energy: -0.67 eV/atom
Distance to the lowest polymorph of the same formula: 467 meV per atom
Calculated total energy: -13.145 eV per cell
ρ: 6381 kg/m³
Total moment: 0.00 μB per formula unit

```
BaRhCl
1.0
4.450 0.000 0.000
-2.225 3.854 0.000
0.000 0.000 4.184
Ba Rh Cl
1 1 1
Direct
0.000 0.000 0.000
0.333 0.667 0.500
0.667 0.333 0.500
```

# 8
A plane-wave DFT calculation with PBE was carried out for an optimized crystal structure of BaRhCl.

Uncorrected formation energy: -0.62 eV/atom
Distance to the lowest polymorph of the same formula: 524 meV per atom
Calculated total energy: -25.947 eV per cell
ρ: 5862 kg/m³
Total moment: 0.00 μB per formula unit

```
BaRhCl
1.0
-3.105 4.450 2.826
3.105 -4.450 2.826
3.105 4.450 -2.826
Ba Rh Cl
2 2 2
Direct
0.000 0.000 0.000
0.500 0.000 0.500
0.358 0.608 0.750
0.642 0.392 0.250
0.000 0.000 0.500
0.000 0.500 0.000
```

# 9
A plane-wave DFT calculation with PBE was carried out for an optimized crystal structure of Ba2RhCl.

Uncorrected formation energy: -0.86 eV/atom
Distance to the lowest polymorph of the same formula: 154 meV per atom
Calculated total energy: -16.490 eV per cell
ρ: 5860 kg/m³
Total moment: 0.00 μB per formula unit

```
Ba2RhCl
1.0
0.000 3.882 3.882
3.882 0.000 3.882
3.882 3.882 0.000
Ba Rh Cl
2 1 1
Direct
0.250 0.250 0.250
0.750 0.750 0.750
0.000 0.000 0.000
0.500 0.500 0.500
```

# 10
A plane-wave DFT calculation with PBE was carried out for an optimized crystal structure of BaRhCl.

Uncorrected formation energy: -0.67 eV/atom
Distance to the lowest polymorph of the same formula: 469 meV per atom
Calculated total energy: -26.276 eV per cell
ρ: 6382 kg/m³
Total moment: 0.00 μB per formula unit

```
BaRhCl
1.0
4.413 0.000 0.000
-2.206 3.822 0.000
0.000 0.000 8.507
Ba Rh Cl
2 2 2
Direct
0.000 0.000 0.000
0.000 0.000 0.500
0.333 0.667 0.250
0.667 0.333 0.750
0.333 0.667 0.750
0.667 0.333 0.250
```

# 11
A plane-wave DFT calculation with PBE was carried out for an optimized crystal structure of BaRhCl.

Uncorrected formation energy: -1.14 eV/atom
Distance to the lowest polymorph of the same formula: 2 meV per atom
Calculated total energy: -29.081 eV per cell
ρ: 4809 kg/m³
Total moment: 0.54 μB per formula unit

```
BaRhCl
1.0
3.698 -2.255 0.000
3.698 2.255 0.000
-2.706 0.000 11.414
Ba Rh Cl
2 2 2
Direct
0.000 0.000 0.000
0.159 0.159 0.433
0.400 0.400 0.216
0.753 0.753 0.216
0.291 0.291 0.855
0.556 0.556 0.578
```

# 12
A plane-wave DFT calculation with PBE was carried out for an optimized crystal structure of Ba2RhCl.

Uncorrected formation energy: -0.93 eV/atom
Distance to the lowest polymorph of the same formula: 87 meV per atom
Calculated total energy: -16.760 eV per cell
ρ: 5105 kg/m³
Total moment: 0.00 μB per formula unit

```
Ba2RhCl
1.0
-2.030 2.032 8.143
2.030 -2.032 8.143
2.030 2.032 -8.143
Ba Rh Cl
2 1 1
Direct
0.000 0.000 0.000
0.724 0.224 0.500
0.589 0.589 0.000
0.329 0.829 0.500
```

# 13
A plane-wave DFT calculation with PBE was carried out for an optimized crystal structure of BaRhCl.

Uncorrected formation energy: -1.09 eV/atom
Distance to the lowest polymorph of the same formula: 56 meV per atom
Calculated total energy: -28.757 eV per cell
ρ: 5642 kg/m³
Total moment: 0.50 μB per formula unit

```
BaRhCl
1.0
2.751 -10.718 0.000
2.751 10.718 0.000
-2.751 0.000 2.751
Ba Rh Cl
2 2 2
Direct
0.123 0.877 0.000
0.877 0.123 0.000
0.001 0.001 0.502
0.501 0.501 0.504
0.311 0.689 0.000
0.689 0.311 0.000
```

# 14
A plane-wave DFT calculation with PBE was carried out for an optimized crystal structure of Ba4RhCl4.

Uncorrected formation energy: -1.73 eV/atom
Calculated total energy: -38.019 eV per cell
ρ: 3719 kg/m³
Total moment: 0.00 μB per formula unit

```
Ba4RhCl4
1.0
8.125 -2.271 0.000
8.125 2.271 0.000
-6.174 0.000 9.608
Ba Rh Cl
4 1 4
Direct
0.077 0.077 0.386
0.309 0.309 0.229
0.691 0.691 0.771
0.923 0.923 0.614
0.500 0.500 0.500
0.129 0.129 0.900
0.287 0.287 0.682
0.713 0.713 0.318
0.871 0.871 0.100
```

# 15
A plane-wave DFT calculation with PBE was carried out for an optimized crystal structure of Ba4Rh2Cl.

Uncorrected formation energy: -0.62 eV/atom
Calculated total energy: -28.579 eV per cell
ρ: 4751 kg/m³
Total moment: 0.00 μB per formula unit

```
Ba4Rh2Cl
1.0
7.923 0.000 0.000
0.000 4.549 0.000
-2.593 0.000 7.665
Ba Rh Cl
4 2 1
Direct
0.233 0.000 0.220
0.257 0.500 0.784
0.743 0.500 0.216
0.767 0.000 0.780
0.000 0.500 0.000
0.500 0.000 0.000
0.000 0.000 0.500
```

# 16
A plane-wave DFT calculation with PBE was carried out for an optimized crystal structure of BaRhCl.

Uncorrected formation energy: -1.00 eV/atom
Distance to the lowest polymorph of the same formula: 145 meV per atom
Calculated total energy: -28.223 eV per cell
ρ: 5521 kg/m³
Total moment: 0.00 μB per formula unit

```
BaRhCl
1.0
-2.126 4.415 4.417
2.126 -4.415 4.417
2.126 4.415 -4.417
Ba Rh Cl
2 2 2
Direct
0.000 0.000 0.000
0.500 0.000 0.500
0.427 0.677 0.750
0.573 0.323 0.250
0.146 0.396 0.750
0.854 0.604 0.250
```

# 17
A plane-wave DFT calculation with PBE was carried out for an optimized crystal structure of Ba2RhCl.

Uncorrected formation energy: -0.84 eV/atom
Distance to the lowest polymorph of the same formula: 176 meV per atom
Calculated total energy: -32.805 eV per cell
ρ: 3938 kg/m³
Total moment: 0.00 μB per formula unit

```
Ba2RhCl
1.0
-3.522 3.522 7.021
3.522 -3.522 7.021
3.522 3.522 -7.021
Ba Rh Cl
4 2 2
Direct
0.092 0.625 0.967
0.375 0.342 0.467
0.658 0.125 0.033
0.875 0.908 0.533
0.000 0.000 0.000
0.750 0.250 0.500
0.250 0.750 0.500
0.500 0.500 0.000
```

# 18
A plane-wave DFT calculation with PBE was carried out for an optimized crystal structure of BaRhCl3.

Uncorrected formation energy: -1.31 eV/atom
Calculated total energy: -21.357 eV per cell
ρ: 4740 kg/m³
Total moment: 0.00 μB per formula unit

```
BaRhCl3
1.0
4.952 0.000 0.000
0.000 4.952 0.000
0.000 0.000 4.952
Ba Rh Cl
1 1 3
Direct
0.000 0.000 0.000
0.500 0.500 0.500
0.000 0.500 0.500
0.500 0.000 0.500
0.500 0.500 0.000
```

# 19
A plane-wave DFT calculation with PBE was carried out for an optimized crystal structure of Ba2RhCl.

Uncorrected formation energy: -0.97 eV/atom
Distance to the lowest polymorph of the same formula: 48 meV per atom
Calculated total energy: -16.914 eV per cell
ρ: 5708 kg/m³
Total moment: 0.00 μB per formula unit

```
Ba2RhCl
1.0
3.840 0.000 0.000
0.000 3.808 0.000
-0.013 0.000 8.216
Ba Rh Cl
2 1 1
Direct
0.000 0.000 0.224
0.000 0.000 0.776
0.500 0.500 0.000
0.500 0.500 0.500
```

# 20
A plane-wave DFT calculation with PBE was carried out for an optimized crystal structure of Ba3RhCl.

Uncorrected formation energy: -0.83 eV/atom
Distance to the lowest polymorph of the same formula: 4 meV per atom
Calculated total energy: -38.255 eV per cell
ρ: 4167 kg/m³
Total moment: 0.00 μB per formula unit

```
Ba3RhCl
1.0
4.174 -7.131 0.000
4.174 7.131 0.000
-2.876 0.000 7.369
Ba Rh Cl
6 2 2
Direct
0.055 0.424 0.772
0.203 0.203 0.249
0.424 0.055 0.772
0.576 0.945 0.228
0.797 0.797 0.751
0.945 0.576 0.228
0.169 0.831 0.000
0.831 0.169 0.000
0.407 0.407 0.698
0.593 0.593 0.302
```

# 21
A plane-wave DFT calculation with PBE was carried out for an optimized crystal structure of Ba16Rh5Cl3.

Uncorrected formation energy: -0.58 eV/atom
Calculated total energy: -86.998 eV per cell
ρ: 4277 kg/m³
Total moment: 0.00 μB per formula unit

```
Ba16Rh5Cl3
1.0
8.030 -4.543 0.000
8.030 4.543 0.000
-0.046 0.000 14.998
Ba Rh Cl
16 5 3
Direct
0.000 0.000 0.000
0.014 0.537 0.998
0.016 0.016 0.510
0.022 0.484 0.506
0.166 0.669 0.252
0.188 0.188 0.254
0.329 0.843 0.751
0.341 0.341 0.756
0.484 0.022 0.506
0.490 0.490 0.489
0.503 0.503 0.982
0.537 0.014 0.998
0.669 0.166 0.252
0.684 0.684 0.232
0.843 0.329 0.751
0.851 0.851 0.761
0.161 0.161 0.627
0.176 0.679 0.870
0.338 0.338 0.373
0.679 0.176 0.870
0.840 0.840 0.133
0.345 0.839 0.373
0.678 0.678 0.871
0.839 0.345 0.373
```